No. 1
Below is a geometry-optimized YCrRh2 structure, with properties calculated at the PBE level.

The calculation puts the energy above the most stable polymorph in this dataset at 333 meV per atom. As for the calculated volume: 69 Å³/cell. As for the total moment: 3.7 μB per formula unit.

a = 4.6099 Å, b = 4.6099 Å, c = 4.6099 Å
α = 60.00°, β = 60.00°, γ = 60.00°
Each line ends with the local moment (μB).
Fractional positions:
Rh (0.2500, 0.2500, 0.2500)  0.02
Rh (0.0000, 0.0000, 0.0000)  -0.05
Cr (0.5000, 0.5000, 0.5000)  3.33
Y (0.7500, 0.7500, 0.7500)  0.11

No. 2
Below is a geometry-optimized AcCd6In12 structure, with properties calculated at the PBE level.

The value obtained for the raw total energy is -2.2075 eV per atom. As for the calculated volume: 533 Å³/cell. As for the total moment: 0.0 μB per formula unit.

a = 8.5437 Å, b = 8.5437 Å, c = 8.5437 Å
α = 105.98°, β = 105.98°, γ = 105.98°
Fractional positions:
In (0.8894, 0.1106, 0.5000)
In (0.1106, 0.8894, 0.5000)
Ac (0.0000, 0.0000, 0.0000)
In (0.8700, 0.6261, 0.6261)
In (0.6261, 0.8700, 0.6261)
In (0.1300, 0.3739, 0.3739)
In (0.6261, 0.6261, 0.8700)
Cd (0.3004, 0.7166, 0.3004)
Cd (0.6996, 0.2834, 0.6996)
In (0.5000, 0.8894, 0.1106)
In (0.5000, 0.1106, 0.8894)
In (0.8894, 0.5000, 0.1106)
Cd (0.6996, 0.6996, 0.2834)
Cd (0.7166, 0.3004, 0.3004)
In (0.3739, 0.3739, 0.1300)
In (0.1106, 0.5000, 0.8894)
Cd (0.3004, 0.3004, 0.7166)
Cd (0.2834, 0.6996, 0.6996)
In (0.3739, 0.1300, 0.3739)

No. 3
Below is a geometry-optimized Pa2TeI8 structure, with properties calculated at the PBE level.

As for the calculated volume: 739 Å³/cell. As for the total moment: 0.0 μB per formula unit. The value obtained for the energy relative to the elements, uncorrected is -832 meV/atom.

a = 6.1392 Å, b = 12.1479 Å, c = 12.1479 Å
α = 58.43°, β = 75.45°, γ = 75.45°
Fractional positions:
Te (0.0000, 0.0000, 0.0000)
I (0.8592, 0.3848, 0.8956)
I (0.8592, 0.8956, 0.3848)
Pa (0.8551, 0.1440, 0.1440)
I (0.2870, 0.7133, 0.7133)
I (0.3575, 0.1418, 0.1418)
I (0.1408, 0.1044, 0.6152)
I (0.1408, 0.6152, 0.1044)
I (0.7130, 0.2867, 0.2867)
Pa (0.1449, 0.8560, 0.8560)
I (0.6425, 0.8582, 0.8582)

No. 4
Below is a geometry-optimized BaRe2SiN structure, with properties calculated at the PBE level.

As for the calculated volume: 150 Å³/cell. As for the total moment: 3.0 μB per formula unit. The value obtained for the energy relative to the elements, uncorrected is 4442 meV/atom.

a = 5.1409 Å, b = 5.6598 Å, c = 5.1409 Å
α = 90.00°, β = 90.00°, γ = 90.00°
Each line ends with the local moment (μB).
Fractional positions:
Re (0.5000, 0.0000, 0.0000)  0.38
Re (0.0000, 0.0000, 0.5000)  0.38
Si (0.0000, 0.5000, 0.0000)  -0.11
N (0.5000, 0.5000, 0.5000)  1.67
Ba (0.0000, 0.0000, 0.0000)  -0.03

No. 5
Below is a geometry-optimized LaPm8Er5 structure, with properties calculated at the PBE level.

The value obtained for the raw total energy is -4.4643 eV per atom. As for the calculated volume: 478 Å³/cell. As for the total moment: 0.0 μB per formula unit.

a = 8.5486 Å, b = 8.5486 Å, c = 8.5486 Å
α = 111.91°, β = 104.69°, γ = 111.91°
Fractional positions:
Pm (0.7194, 0.2533, 0.3242)
Pm (0.5716, 0.9104, 0.8361)
Er (0.5000, 0.0000, 0.5000)
Er (0.8164, 0.6830, 0.7236)
Er (0.8666, 0.9072, 0.1836)
Pm (0.3388, 0.2645, 0.4284)
Pm (0.9257, 0.0896, 0.6612)
Er (0.2764, 0.0928, 0.9593)
Pm (0.0709, 0.7467, 0.4662)
La (0.2500, 0.5000, 0.7500)
Er (0.0407, 0.3170, 0.1334)
Pm (0.6758, 0.3953, 0.9291)
Pm (0.1639, 0.7355, 0.0743)
Pm (0.5338, 0.6047, 0.2806)

No. 6
Below is a geometry-optimized Nd12Y5Tm structure, with properties calculated at the PBE level.

The value obtained for the raw total energy is -5.2040 eV per atom. As for the calculated volume: 615 Å³/cell. As for the total moment: 0.0 μB per formula unit.

a = 15.4055 Å, b = 10.9112 Å, c = 5.1600 Å
α = 90.00°, β = 90.00°, γ = 45.18°
Fractional positions:
Y (0.1660, 0.6680, 0.5000)
Nd (0.6683, 0.3325, 0.0000)
Nd (0.4995, 0.3334, 0.5000)
Nd (0.5005, 0.6666, 0.5000)
Y (0.5000, 0.0000, 0.5000)
Tm (0.0000, 0.0000, 0.0000)
Nd (0.8331, 0.6664, 0.5000)
Y (0.3334, 0.3332, 0.0000)
Nd (0.1669, 0.3337, 0.5000)
Nd (0.8350, 0.0001, 0.4999)
Y (0.6666, 0.6668, 0.0000)
Nd (0.0006, 0.6677, 0.0000)
Nd (0.6663, 0.9999, 0.9999)
Nd (0.3317, 0.6675, 0.0000)
Y (0.8340, 0.3320, 0.5000)
Nd (0.1650, 0.9999, 0.5001)
Nd (0.3337, 0.0001, 0.0001)
Nd (0.9994, 0.3323, 0.0000)

No. 7
Below is a geometry-optimized KTl2Sb structure, with properties calculated at the PBE level.

As for the calculated volume: 134 Å³/cell. As for the total moment: 0.0 μB per formula unit. The value obtained for the energy relative to the elements, uncorrected is -146 meV/atom.

a = 4.0924 Å, b = 4.1806 Å, c = 7.8151 Å
α = 90.00°, β = 90.00°, γ = 90.00°
Fractional positions:
Tl (0.0000, 0.0000, 0.5434)
Tl (0.0000, 0.0000, 0.9566)
K (0.5000, 0.5000, 0.2500)
Sb (0.5000, 0.5000, 0.7500)

No. 8
Below is a geometry-optimized Ti3NbC structure, with properties calculated at the PBE level.

The calculation puts the energy above the most stable polymorph in this dataset at 0 meV per atom. As for the calculated volume: 151 Å³/cell. As for the total moment: 0.0 μB per formula unit.

a = 4.3752 Å, b = 5.4162 Å, c = 7.5991 Å
α = 68.04°, β = 73.27°, γ = 66.18°
Fractional positions:
C (0.1289, 0.6793, 0.0629)
Ti (0.8999, 0.9989, 0.2013)
C (0.8711, 0.3207, 0.9371)
Ti (0.3573, 0.3530, 0.9323)
Ti (0.8562, 0.6240, 0.6635)
Nb (0.3835, 0.7813, 0.4517)
Ti (0.1001, 0.0011, 0.7987)
Ti (0.1438, 0.3760, 0.3365)
Ti (0.6427, 0.6470, 0.0677)
Nb (0.6165, 0.2187, 0.5483)

No. 9
Below is a geometry-optimized NaLa3Ir structure, with properties calculated at the PBE level.

The calculation puts the energy above the most stable polymorph in this dataset at 79 meV per atom. As for the calculated volume: 738 Å³/cell. As for the total moment: 0.0 μB per formula unit.

a = 6.7179 Å, b = 15.7386 Å, c = 6.9796 Å
α = 90.00°, β = 90.00°, γ = 90.00°
Fractional positions:
La (0.9991, 0.6268, 0.9333)
La (0.9991, 0.8732, 0.9333)
La (0.5009, 0.3732, 0.4333)
La (0.5011, 0.2500, 0.9220)
Na (0.5000, 0.5000, 0.0000)
Ir (0.7491, 0.7500, 0.7501)
La (0.0011, 0.2500, 0.5780)
La (0.4989, 0.7500, 0.0780)
Na (0.5000, 0.0000, 0.0000)
Ir (0.2509, 0.2500, 0.2499)
Ir (0.2491, 0.7500, 0.7499)
La (0.4991, 0.8732, 0.5667)
Na (0.0000, 0.5000, 0.5000)
Ir (0.7509, 0.2500, 0.2501)
La (0.5009, 0.1268, 0.4333)
La (0.0009, 0.1268, 0.0667)
Na (0.0000, 0.0000, 0.5000)
La (0.4991, 0.6268, 0.5667)
La (0.0009, 0.3732, 0.0667)
La (0.9989, 0.7500, 0.4220)

No. 10
Below is a geometry-optimized CrAg2GeIr structure, with properties calculated at the PBE level.

The value obtained for the raw total energy is -4.8918 eV per atom. As for the calculated volume: 121 Å³/cell. As for the total moment: 4.8 μB per formula unit.

a = 5.1562 Å, b = 4.5635 Å, c = 5.1562 Å
α = 90.00°, β = 90.00°, γ = 90.00°
Each line ends with the local moment (μB).
Fractional positions:
Ag (0.0000, 0.0000, 0.5000)  -0.01
Ir (0.0000, 0.0000, 0.0000)  0.10
Ge (0.0000, 0.5000, 0.0000)  -0.02
Ag (0.5000, 0.0000, 0.0000)  -0.01
Cr (0.5000, 0.5000, 0.5000)  4.18

No. 11
Below is a geometry-optimized CaVIr structure, with properties calculated at the PBE level.

The calculation puts the energy above the most stable polymorph in this dataset at 176 meV per atom. As for the calculated volume: 249 Å³/cell. As for the total moment: 0.0 μB per formula unit.

a = 6.9083 Å, b = 3.4532 Å, c = 10.4687 Å
α = 90.00°, β = 92.52°, γ = 90.00°
Fractional positions:
V (0.1229, 0.5000, 0.0764)
Ca (0.5516, 0.5000, 0.9936)
V (0.2097, 0.0000, 0.8411)
Ca (0.8303, 0.5000, 0.7443)
Ca (0.5516, 0.0000, 0.4936)
Ca (0.8303, 0.0000, 0.2443)
Ir (0.3254, 0.0000, 0.2011)
V (0.2097, 0.5000, 0.3411)
Ir (0.9273, 0.5000, 0.4720)
Ir (0.3254, 0.5000, 0.7011)
Ir (0.9273, 0.0000, 0.9720)
V (0.1229, 0.0000, 0.5764)

No. 12
Below is a geometry-optimized Na2TiHgPb structure, with properties calculated at the PBE level.

The value obtained for the raw total energy is -2.4066 eV per atom. As for the calculated volume: 147 Å³/cell. As for the total moment: 0.0 μB per formula unit.

a = 5.2495 Å, b = 5.3518 Å, c = 5.2495 Å
α = 90.00°, β = 90.00°, γ = 90.00°
Fractional positions:
Ti (0.0000, 0.5000, 0.0000)
Na (0.5000, 0.0000, 0.0000)
Na (0.0000, 0.0000, 0.5000)
Pb (0.5000, 0.5000, 0.5000)
Hg (0.0000, 0.0000, 0.0000)

No. 13
Below is a geometry-optimized LaYCdCu structure, with properties calculated at the PBE level.

The value obtained for the raw total energy is -4.3018 eV per atom. As for the calculated volume: 104 Å³/cell. As for the total moment: 0.0 μB per formula unit.

a = 5.2738 Å, b = 5.2738 Å, c = 5.2738 Å
α = 60.00°, β = 60.00°, γ = 60.00°
Fractional positions:
Cd (0.0000, 0.0000, 0.0000)
La (0.2500, 0.2500, 0.2500)
Cu (0.5000, 0.5000, 0.5000)
Y (0.7500, 0.7500, 0.7500)

No. 14
Below is a geometry-optimized Hf4As6Ru7 structure, with properties calculated at the PBE level.

The value obtained for the raw total energy is -8.4586 eV per atom. As for the calculated volume: 271 Å³/cell. As for the total moment: 0.0 μB per formula unit.

a = 7.0610 Å, b = 7.0610 Å, c = 7.0610 Å
α = 109.47°, β = 109.47°, γ = 109.47°
Fractional positions:
Hf (0.0000, 0.0000, 0.5000)
Hf (0.5000, 0.0000, 0.0000)
Hf (0.0000, 0.5000, 0.0000)
Hf (0.5000, 0.5000, 0.5000)
Ru (0.2500, 0.7500, 0.5000)
As (0.0000, 0.6877, 0.6877)
Ru (0.5000, 0.7500, 0.2500)
As (0.3123, 0.3123, 0.0000)
As (0.0000, 0.3123, 0.3123)
Ru (0.7500, 0.2500, 0.5000)
As (0.6877, 0.6877, 0.0000)
Ru (0.7500, 0.5000, 0.2500)
As (0.6877, 0.0000, 0.6877)
Ru (0.0000, 0.0000, 0.0000)
Ru (0.5000, 0.2500, 0.7500)
Ru (0.2500, 0.5000, 0.7500)
As (0.3123, 0.0000, 0.3123)

No. 15
Below is a geometry-optimized Cu6Ge structure, with properties calculated at the PBE level.

The calculation puts the energy above the most stable polymorph in this dataset at 882 meV per atom. As for the calculated volume: 133 Å³/cell. As for the total moment: 0.0 μB per formula unit.

a = 5.5630 Å, b = 5.5630 Å, c = 5.5630 Å
α = 109.47°, β = 109.47°, γ = 109.47°
Fractional positions:
Cu (0.2500, 0.5000, 0.7500)
Cu (0.2500, 0.7500, 0.5000)
Cu (0.7500, 0.5000, 0.2500)
Ge (0.0000, 0.0000, 0.0000)
Cu (0.5000, 0.2500, 0.7500)
Cu (0.7500, 0.2500, 0.5000)
Cu (0.5000, 0.7500, 0.2500)

No. 16
Below is a geometry-optimized Hf3ScV8 structure, with properties calculated at the PBE level.

The value obtained for the raw total energy is -9.0258 eV per atom. As for the calculated volume: 197 Å³/cell. As for the total moment: 0.0 μB per formula unit.

a = 5.2293 Å, b = 5.2293 Å, c = 8.3020 Å
α = 90.00°, β = 90.00°, γ = 120.00°
Fractional positions:
Hf (0.0000, 0.0000, 0.9374)
V (0.1629, 0.3259, 0.2482)
Hf (0.6667, 0.3333, 0.4345)
V (0.1629, 0.8371, 0.2482)
V (0.6741, 0.8371, 0.2482)
V (0.5040, 0.4960, 0.7540)
V (0.5040, 0.0080, 0.7540)
V (0.9920, 0.4960, 0.7540)
Sc (0.0000, 0.0000, 0.5625)
Hf (0.6667, 0.3333, 0.0636)
V (0.3333, 0.6667, 0.4958)
V (0.3333, 0.6667, 0.9996)

No. 17
Below is a geometry-optimized LaCoH structure, with properties calculated at the PBE level.

The calculation puts the energy above the most stable polymorph in this dataset at 33 meV per atom. As for the calculated volume: 194 Å³/cell. As for the total moment: 0.0 μB per formula unit.

a = 5.1547 Å, b = 8.5894 Å, c = 4.3852 Å
α = 90.00°, β = 90.00°, γ = 90.00°
Fractional positions:
H (0.7500, 0.4275, 0.2461)
Co (0.5000, 0.5000, 0.4373)
La (0.7500, 0.6605, 0.9239)
La (0.7500, 0.1605, 0.4239)
H (0.7500, 0.9275, 0.7461)
Co (0.0000, 0.0000, 0.9373)
La (0.2500, 0.8395, 0.4239)
La (0.2500, 0.3395, 0.9239)
H (0.2500, 0.5725, 0.2461)
H (0.2500, 0.0725, 0.7461)
Co (0.0000, 0.5000, 0.4373)
Co (0.5000, 0.0000, 0.9373)

No. 18
Below is a geometry-optimized BeHgPCl2 structure, with properties calculated at the PBE level.

The calculation puts the energy above the most stable polymorph in this dataset at 0 meV per atom. As for the calculated volume: 104 Å³/cell. As for the total moment: 0.6 μB per formula unit. The value obtained for the energy relative to the elements, uncorrected is -31 meV/atom.

a = 4.1862 Å, b = 4.1862 Å, c = 5.9316 Å
α = 90.00°, β = 90.00°, γ = 90.00°
Each line ends with the local moment (μB).
Fractional positions:
P (0.0000, 0.0000, 0.5000)  0.23
Cl (0.0000, 0.5000, 0.0000)  0.05
Cl (0.5000, 0.0000, 0.0000)  0.05
Hg (0.5000, 0.5000, 0.5000)  0.00
Be (0.0000, 0.0000, 0.0000)  0.00

No. 19
Below is a geometry-optimized SrSmAgS3 structure, with properties calculated at the PBE level.

As for the calculated volume: 298 Å³/cell. As for the total moment: 0.0 μB per formula unit. The value obtained for the energy relative to the elements, uncorrected is -1587 meV/atom.

a = 4.0799 Å, b = 8.3566 Å, c = 8.9692 Å
α = 103.29°, β = 90.00°, γ = 90.00°
Fractional positions:
S (0.7500, 0.4346, 0.1560)
S (0.2500, 0.5654, 0.8440)
Sr (0.2500, 0.1913, 0.2324)
Sm (0.2500, 0.6716, 0.1689)
Ag (0.2500, 0.0959, 0.5868)
S (0.2500, 0.7531, 0.4937)
S (0.7500, 0.8962, 0.1289)
S (0.2500, 0.1038, 0.8711)
Sm (0.7500, 0.3284, 0.8311)
Ag (0.7500, 0.9041, 0.4132)
Sr (0.7500, 0.8087, 0.7676)
S (0.7500, 0.2469, 0.5063)

No. 20
Below is a geometry-optimized YTc4Ni structure, with properties calculated at the PBE level.

The value obtained for the raw total energy is -8.7094 eV per atom. As for the calculated volume: 101 Å³/cell. As for the total moment: 0.0 μB per formula unit.

a = 5.2254 Å, b = 5.2254 Å, c = 5.2254 Å
α = 60.00°, β = 60.00°, γ = 60.00°
Fractional positions:
Tc (0.3741, 0.3741, 0.8778)
Ni (0.0000, 0.0000, 0.0000)
Tc (0.3741, 0.3741, 0.3741)
Tc (0.3741, 0.8778, 0.3741)
Tc (0.8778, 0.3741, 0.3741)
Y (0.7500, 0.7500, 0.7500)